No. 1
Entry from Alexandria: crystalline Yb2Ge6Pd at its relaxed geometry (PBE).

Calculated values
volume	20.54	A^3/atom
energy of formation from the pure elements	-0.495	eV/atom
magnetization	0.42	μB/f.u.
D(E_F)	235.01	states/eV per cell

Lattice parameters (Å, degrees): 8.3225 8.1025 21.9289 90.00 90.00 90.00
Space group Cmce (No. 64)
Asymmetric unit:
Yb 0.2497 0.1250 0.0817 x16
Ge 0.0000 0.0944 0.1933 x8
Ge 0.0000 0.1192 0.9605 x8
Ge 0.0000 0.1309 0.5293 x8
Ge 0.0000 0.1549 0.3073 x8
Ge 0.2235 0.1253 0.8068 x16
Pd 0.0000 0.1254 0.6424 x8

---

No. 2
Entry from Alexandria: crystalline Ac2ErGa2Pt7 at its relaxed geometry (PBE).

Calculated values
volume	20.75	A^3/atom
energy of formation from the pure elements	-1.030	eV/atom
magnetization	0.00	μB/f.u.
D(E_F)	5.41	states/eV per cell

Lattice parameters (Å, degrees): 5.9663 5.9269 14.1952 90.00 97.27 90.00
Space group C2/m (No. 12)
Asymmetric unit:
Ac 0.0941 0.0000 0.3525 x4
Er 0.0000 0.0000 0.0000 x2
Ga 0.0723 0.5000 0.2433 x4
Pt 0.0000 0.5000 0.0000 x2
Pt 0.1011 0.5000 0.4209 x4
Pt 0.2068 0.2500 0.8548 x8

---

No. 3
Entry from Alexandria: crystalline Pm2ScZn3 at its relaxed geometry (PBE).

Calculated values
volume	22.53	A^3/atom
energy of formation from the pure elements	-0.311	eV/atom
magnetization	0.00	μB/f.u.
D(E_F)	7.59	states/eV per cell

Lattice parameters (Å, degrees): 3.5184 3.5184 10.9175 90.00 90.00 90.00
Space group P4/mmm (No. 123)
Asymmetric unit:
Pm 0.0000 0.0000 0.1776 x2
Sc 0.0000 0.0000 0.5000 x1
Zn 0.5000 0.5000 0.0000 x1
Zn 0.5000 0.5000 0.3624 x2

---

No. 4
Entry from Alexandria: crystalline TbHo2Ni at its relaxed geometry (PBE).

Calculated values
volume	26.96	A^3/atom
energy of formation from the pure elements	-0.086	eV/atom
magnetization	0.00	μB/f.u.
D(E_F)	12.79	states/eV per cell

Lattice parameters (Å, degrees): 3.6352 3.6352 28.2661 90.00 90.00 120.00
Space group R-3m (No. 166, hexagonal axes)
Asymmetric unit:
Tb 0.0000 0.0000 0.0000 x3
Ho 0.0000 0.0000 0.2275 x6
Ni 0.0000 0.0000 0.5000 x3

---

No. 5
Entry from Alexandria: crystalline La5PmNd8 at its relaxed geometry (PBE).

Calculated values
volume	36.20	A^3/atom
energy of formation from the pure elements	0.209	eV/atom
magnetization	0.00	μB/f.u.
D(E_F)	43.68	states/eV per cell

Lattice parameters (Å, degrees): 9.8353 9.8353 10.4797 90.00 90.00 90.00
Space group I-4 (No. 82)
Asymmetric unit:
La 0.0000 0.0000 0.0000 x2
La 0.1074 0.2131 0.5739 x8
Pm 0.0000 0.5000 0.2500 x2
Nd 0.0730 0.3258 0.8962 x8
Nd 0.0761 0.1824 0.2423 x8

---

No. 6
Entry from Alexandria: crystalline CeInTe2 at its relaxed geometry (PBE).

Calculated values
volume	36.46	A^3/atom
magnetization	1.00	μB/f.u.
E_form (uncorrected)	-0.9088	eV/atom
D(E_F)	15.16	states/eV per cell

Lattice parameters (Å, degrees): 4.5186 4.5186 16.4937 90.00 90.00 120.00
Space group P6_3/mmc (No. 194)
Asymmetric unit:
Ce 0.0000 0.0000 0.0000 x2
In 0.3333 0.6667 0.2500 x2
Te 0.3333 0.6667 0.6113 x4